Record 1
Computed, not measured: a relaxed Tb4Cd5Rh2 crystal at the PBE level of DFT.

a b c (Å): 7.738 3.637 9.552
angles (deg): 90.00 94.03 90.00
Atoms (fractional coordinates):
Tb (0.171, 0.000, 0.350)
Tb (0.215, 0.000, 0.944)
Tb (0.785, 0.000, 0.056)
Tb (0.829, 0.000, 0.650)
Cd (0.185, 0.500, 0.651)
Cd (0.455, 0.500, 0.173)
Cd (0.500, 0.500, 0.500)
Cd (0.545, 0.500, 0.827)
Cd (0.815, 0.500, 0.349)
Rh (0.076, 0.500, 0.144)
Rh (0.924, 0.500, 0.856)

Computed properties:
As for the space-group type: P2/m (10). Its crystal system is monoclinic.

Record 2
Computed, not measured: a relaxed NbGaN2O crystal at the PBE level of DFT.

a b c (Å): 4.151 4.151 3.953
angles (deg): 90.00 90.00 90.00
Atoms (fractional coordinates):
Nb (0.000, 0.000, 0.000)
Ga (0.500, 0.500, 0.500)
N (0.000, 0.500, 0.000)
N (0.500, 0.000, 0.000)
O (0.000, 0.000, 0.500)

Computed properties:
As for the space-group type: P4/mmm (123). Its crystal system is tetragonal.

Record 3
Computed, not measured: a relaxed SrTlMo2 crystal at the PBE level of DFT.

a b c (Å): 3.493 5.349 10.151
angles (deg): 90.00 90.00 90.00
Atoms (fractional coordinates):
Sr (0.000, 0.000, 0.000)
Sr (0.500, 0.500, 0.500)
Tl (0.000, 0.500, 0.790)
Tl (0.500, 0.000, 0.290)
Mo (0.000, 0.000, 0.563)
Mo (0.000, 0.500, 0.227)
Mo (0.500, 0.000, 0.727)
Mo (0.500, 0.500, 0.063)

Computed properties:
As for the space-group type: Imm2 (44). Its crystal system is orthorhombic.

Record 4
Computed, not measured: a relaxed BaSr5Ca6 crystal at the PBE level of DFT.

a b c (Å): 7.098 7.098 13.575
angles (deg): 94.92 94.92 119.86
Atoms (fractional coordinates):
Ba (0.000, 0.000, 0.000)
Sr (0.167, 0.833, 0.500)
Sr (0.333, 0.667, 0.000)
Sr (0.500, 0.500, 0.500)
Sr (0.667, 0.333, 0.000)
Sr (0.833, 0.167, 0.500)
Ca (0.084, 0.420, 0.251)
Ca (0.253, 0.253, 0.748)
Ca (0.420, 0.084, 0.251)
Ca (0.580, 0.916, 0.749)
Ca (0.747, 0.747, 0.252)
Ca (0.916, 0.580, 0.749)

Computed properties:
As for the space-group type: C2/m (12). Its crystal system is monoclinic.

Record 5
Computed, not measured: a relaxed LaTb2Sm crystal at the PBE level of DFT.

a b c (Å): 3.638 3.638 10.199
angles (deg): 90.00 90.00 90.00
Atoms (fractional coordinates):
La (0.000, 0.000, 0.000)
Tb (0.500, 0.500, 0.254)
Tb (0.500, 0.500, 0.746)
Sm (0.000, 0.000, 0.500)

Computed properties:
As for the space-group type: P4/mmm (123). Its crystal system is tetragonal.

Record 6
Computed, not measured: a relaxed Rb3TmBi2Te6 crystal at the PBE level of DFT.

a b c (Å): 7.950 7.950 8.959
angles (deg): 98.50 98.50 120.00
Atoms (fractional coordinates):
Rb (0.000, 0.000, 0.000)
Rb (0.330, 0.670, 0.000)
Rb (0.670, 0.330, 0.000)
Tm (0.500, 0.500, 0.500)
Bi (0.166, 0.834, 0.500)
Bi (0.834, 0.166, 0.500)
Te (0.109, 0.434, 0.301)
Te (0.242, 0.242, 0.701)
Te (0.434, 0.109, 0.301)
Te (0.566, 0.891, 0.699)
Te (0.758, 0.758, 0.299)
Te (0.891, 0.566, 0.699)

Computed properties:
As for the space-group type: C2/m (12). Its crystal system is monoclinic.

Record 7
Computed, not measured: a relaxed GdTm2Sc crystal at the PBE level of DFT.

a b c (Å): 4.866 4.866 4.907
angles (deg): 90.00 90.00 90.00
Atoms (fractional coordinates):
Gd (0.000, 0.000, 0.000)
Tm (0.000, 0.500, 0.500)
Tm (0.500, 0.000, 0.500)
Sc (0.500, 0.500, 0.000)

Computed properties:
As for the space-group type: P4/mmm (123). Its crystal system is tetragonal.

Record 8
Computed, not measured: a relaxed Sm2MoN3 crystal at the PBE level of DFT.

a b c (Å): 3.450 3.956 12.821
angles (deg): 90.00 90.00 90.00
Atoms (fractional coordinates):
Sm (0.000, 0.000, 0.149)
Sm (0.000, 0.000, 0.851)
Sm (0.500, 0.500, 0.351)
Sm (0.500, 0.500, 0.649)
Mo (0.000, 0.000, 0.500)
Mo (0.500, 0.500, 0.000)
N (0.000, 0.000, 0.339)
N (0.000, 0.000, 0.661)
N (0.000, 0.500, 0.500)
N (0.500, 0.000, 0.000)
N (0.500, 0.500, 0.161)
N (0.500, 0.500, 0.839)

Computed properties:
As for the space-group type: Immm (71). Its crystal system is orthorhombic.

no.,VASP energy (eV per atom)
1,-3.94
2,-7.13
3,-5.75
4,-1.83
5,-4.70
6,-3.69
7,-7.29
8,-8.65